(1)
Computed, not measured: an optimized crystal structure of La2YGa at the PBE level of DFT.

Cell lengths 3.7596, 3.7596, 32.0193 Å; angles 90.00, 90.00, 120.00 degrees
Closest atoms and distances in Å follow each position.
Space group R3m (No. 160, hexagonal axes)
Inequivalent atoms, fractional coordinates:
La: 0.0000 0.0000 0.0000 (multiplicity 3)  3 Ga 3.17
La: 0.0000 0.0000 0.1891 (multiplicity 3)  3 Ga 3.17
Y: 0.0000 0.0000 0.4280 (multiplicity 3)  6 La 3.72-3.73, 6 Y 3.76
Ga: 0.0000 0.0000 0.5945 (multiplicity 3)  6 La 3.17

## Properties
- Magnetization: 0.19 μB/atom
- VASP energy: -4.966 eV/atom


(2)
Computed, not measured: an optimized crystal structure of SrPb2Au4 at the PBE level of DFT.

Cell lengths 18.1314, 6.7314, 5.6946 Å; angles 90.00, 90.32, 90.00 degrees
Closest atoms and distances in Å follow each position.
Space group C2/c (No. 15)
Inequivalent atoms, fractional coordinates:
Sr: 0.0000 0.2269 0.2500 (multiplicity 4)  10 Au 3.26-3.36
Pb: 0.2027 0.3729 0.2486 (multiplicity 8)  5 Au 3.00-3.23, 2 Pb 3.32
Au: 0.0788 0.3316 0.7514 (multiplicity 8)  3 Au 2.86-2.91, 1 Pb 3.00
Au: 0.1449 0.0011 0.5014 (multiplicity 8)  4 Au 2.85-2.91, 2 Pb 3.07

## Properties
- Magnetization: 0.00 μB/atom
- VASP energy: -3.502 eV/atom


Number 1: ΔH_f (0 K) -0.13 eV per atom. Number 2: ΔH_f (0 K) -0.33 eV per atom.